First-principles (PBE) data for an optimized crystal structure of MgCu4Pt, as listed in Alexandria.

Unit cell a=4.8625 b=4.8625 c=4.8625 alpha=60.00 beta=60.00 gamma=60.00
Last column: nearest neighbours and their distance in Å.
Atoms (fractional coordinates):
Cu1 0.1247 0.6251 0.6251  6 Cu 2.43
Cu2 0.6251 0.6251 0.6251  6 Cu 2.43
Cu3 0.6251 0.1247 0.6251  6 Cu 2.43
Cu4 0.6251 0.6251 0.1247  6 Cu 2.43
Mg1 0.2500 0.2500 0.2500  12 Cu 2.85, 4 Pt 2.98
Pt1 0.0000 0.0000 0.0000  12 Cu 2.85, 4 Mg 2.98

Computed properties:
The space group is F-43m, No. 216. The formation enthalpy at 0 K is -0.21 eV/atom. The calculation puts the density of states at the Fermi level at 2.44 states/eV per cell.

***

First-principles (PBE) data for an optimized crystal structure of Sr2HfCuSe5, as listed in Alexandria.

Unit cell a=3.9955 b=9.3224 c=12.5955 alpha=90.00 beta=90.00 gamma=102.37
Last column: nearest neighbours and their distance in Å.
Atoms (fractional coordinates):
Sr1 0.8803 0.7606 0.8279  7 Se 3.07-3.37
Sr2 0.1185 0.2370 0.6901  7 Se 3.09-3.35
Sr3 0.1197 0.2394 0.3279  7 Se 3.07-3.37
Sr4 0.8815 0.7630 0.1901  7 Se 3.09-3.35
Hf1 0.8039 0.6078 0.5191  6 Se 2.69-2.74
Hf2 0.1961 0.3922 0.0191  6 Se 2.69-2.74
Cu1 0.5676 0.1351 0.9343  4 Se 2.39-2.50
Cu2 0.4324 0.8649 0.4343  4 Se 2.39-2.50
Se1 0.3435 0.6870 0.0107  1 Hf 2.69
Se2 0.6979 0.3957 0.8706  1 Cu 2.50, 2 Hf 2.74
Se3 0.5017 0.0034 0.7701  1 Cu 2.39
Se4 0.2961 0.5922 0.6645  2 Hf 2.71
Se5 0.9516 0.9031 0.5366  2 Cu 2.40
Se6 0.6565 0.3130 0.5107  1 Hf 2.69
Se7 0.3021 0.6043 0.3706  1 Cu 2.50, 2 Hf 2.74
Se8 0.4983 0.9966 0.2701  1 Cu 2.39
Se9 0.7039 0.4078 0.1645  2 Hf 2.71
Se10 0.0484 0.0969 0.0366  2 Cu 2.40

Computed properties:
The space group is Cmc2_1, No. 36. The calculation puts the formation energy from raw total energies at -12.2 eV per formula unit. The calculation puts the density of states at the Fermi level at 6.62 states/eV per cell.